The following is a DFT calculation (GGA-PBE) of a geometry-optimized AgHg4W structure.

Values from the calculation:
- ρ: 13.66 g cm⁻³
- Space-group type: No. 216
- Energy relative to the elements: 1014 meV/atom
- V: 133.0 Å³ per cell
- N(E_F): 3.27 states/eV/cell
- VASP energy: -10.93 eV per formula unit
- Spin magnetization: 3.44 μB/cell

Lattice parameters (Å, degrees): 5.7290 5.7290 5.7290 60.00 60.00 60.00
Last column: nearest neighbours and their distance in Å.
Atoms (fractional coordinates):
1 Hg 0.3751 0.8748 0.3751  6 Hg 2.86-2.87
2 Hg 0.3751 0.3751 0.3751  6 Hg 2.86-2.87
3 Hg 0.3751 0.3751 0.8748  6 Hg 2.86-2.87
4 Hg 0.8748 0.3751 0.3751  6 Hg 2.86-2.87
5 Ag 0.0000 0.0000 0.0000  12 Hg 3.36, 4 W 3.51
6 W 0.7500 0.7500 0.7500  12 Hg 3.36, 4 Ag 3.51